First-principles (PBE) data for Sn2PbBr after structural relaxation, as listed in Alexandria.

Lattice parameters (Å, degrees): 5.447 5.447 5.447 60.00 60.00 60.00
Atoms (fractional coordinates):
Br (0.000, 0.000, 0.000)
Sn (0.750, 0.750, 0.750)
Sn (0.250, 0.250, 0.250)
Pb (0.500, 0.500, 0.500)

Calculated values
ΔE_f (raw), kJ/mol of atoms: -1.4
Energy, eV/atom: -3.36
N(E_F), states/eV/f.u.: 3.43
Relative energy among the computed polymorphs, meV/atom: 65

First-principles (PBE) data for Na2RuPbO5 after structural relaxation, as listed in Alexandria.

Lattice parameters (Å, degrees): 5.612 6.725 6.725 90.00 90.00 90.00
Last column: magnetic moment on the atom in μB.
Atoms (fractional coordinates):
Ru (0.000, 0.000, 0.500)  -0.33
Ru (0.000, 0.500, 0.000)  -0.33
Pb (0.000, 0.000, 0.000)  0.00
Pb (0.000, 0.500, 0.500)  0.00
O (0.229, 0.138, 0.638)  -0.03
O (0.771, 0.138, 0.638)  -0.03
O (0.500, 0.500, 0.500)  0.38
O (0.229, 0.362, 0.138)  -0.03
O (0.229, 0.862, 0.362)  -0.03
O (0.771, 0.638, 0.862)  -0.03
O (0.500, 0.000, 0.000)  0.38
O (0.229, 0.638, 0.862)  -0.03
O (0.771, 0.862, 0.362)  -0.03
O (0.771, 0.362, 0.138)  -0.03
Na (0.500, 0.676, 0.176)  0.00
Na (0.500, 0.824, 0.676)  0.00
Na (0.500, 0.324, 0.824)  0.00
Na (0.500, 0.176, 0.324)  0.00

Calculated values
ΔE_f (raw), kJ/mol of atoms: -82.9
Energy, eV/atom: -5.35
N(E_F), states/eV/f.u.: 1.55

First-principles (PBE) data for BeFeAsBr2 after structural relaxation, as listed in Alexandria.

Lattice parameters (Å, degrees): 4.717 4.717 4.771 90.00 90.00 90.00
Last column: magnetic moment on the atom in μB.
Atoms (fractional coordinates):
Fe (0.500, 0.500, 0.500)  3.41
Br (0.000, 0.500, 0.000)  0.06
Br (0.500, 0.000, 0.000)  0.06
Be (0.000, 0.000, 0.000)  0.00
As (0.000, 0.000, 0.500)  -0.01

Calculated values
ΔE_f (raw), kJ/mol of atoms: 59.2
Energy, eV/atom: -3.42
N(E_F), states/eV/f.u.: 4.10
Relative energy among the computed polymorphs, meV/atom: 0

First-principles (PBE) data for Na2CuF7 after structural relaxation, as listed in Alexandria.

Lattice parameters (Å, degrees): 5.734 8.028 6.267 88.71 79.25 75.42
Last column: magnetic moment on the atom in μB.
Atoms (fractional coordinates):
Cu (0.078, 0.730, 0.256)  0.41
Cu (0.922, 0.270, 0.744)  0.41
Na (0.207, 0.119, 0.280)  0.00
Na (0.793, 0.881, 0.720)  0.00
Na (0.318, 0.527, 0.788)  0.00
Na (0.682, 0.473, 0.212)  0.00
F (0.971, 0.729, 0.000)  0.04
F (0.557, 0.212, 0.181)  0.53
F (0.097, 0.053, 0.677)  0.01
F (0.192, 0.724, 0.510)  0.06
F (0.626, 0.175, 0.865)  0.49
F (0.733, 0.484, 0.819)  0.01
F (0.903, 0.947, 0.323)  0.01
F (0.808, 0.276, 0.490)  0.06
F (0.800, 0.656, 0.411)  0.27
F (0.443, 0.788, 0.819)  0.53
F (0.267, 0.516, 0.181)  0.01
F (0.200, 0.344, 0.589)  0.27
F (0.029, 0.271, 0.000)  0.04
F (0.374, 0.825, 0.135)  0.49

Calculated values
ΔE_f (raw), kJ/mol of atoms: -159.1
Energy, eV/atom: -3.63
N(E_F), states/eV/f.u.: 0.64

First-principles (PBE) data for TiOF2 after structural relaxation, as listed in Alexandria.

Lattice parameters (Å, degrees): 3.670 3.670 3.670 60.00 60.00 60.00
Atoms (fractional coordinates):
F (0.250, 0.250, 0.250)
F (0.750, 0.750, 0.750)
Ti (0.500, 0.500, 0.500)
O (0.000, 0.000, 0.000)

Calculated values
ΔE_f (raw), kJ/mol of atoms: -173.6
Energy, eV/atom: -5.95
N(E_F), states/eV/f.u.: 0.00
Relative energy among the computed polymorphs, meV/atom: 1403

First-principles (PBE) data for Zn2GaH after structural relaxation, as listed in Alexandria.

Lattice parameters (Å, degrees): 4.678 4.678 6.518 68.97 68.97 90.00
Atoms (fractional coordinates):
Zn (0.875, 0.733, 0.750)
Zn (0.267, 0.625, 0.250)
Zn (0.483, 0.125, 0.250)
Zn (0.375, 0.517, 0.750)
H (0.500, 0.500, 0.000)
H (0.250, 0.750, 0.500)
Ga (0.000, 0.000, 0.000)
Ga (0.750, 0.250, 0.500)

Calculated values
Energy, eV/atom: -1.95
N(E_F), states/eV/f.u.: 1.19
Relative energy among the computed polymorphs, meV/atom: 0

First-principles (PBE) data for TbPr3Tm2Se6 after structural relaxation, as listed in Alexandria.

Lattice parameters (Å, degrees): 7.097 7.097 7.385 99.21 99.21 120.19
Atoms (fractional coordinates):
Pr (0.164, 0.836, 0.500)
Pr (0.836, 0.164, 0.500)
Pr (0.500, 0.500, 0.500)
Tm (0.666, 0.334, 0.000)
Tm (0.334, 0.666, 0.000)
Se (0.924, 0.585, 0.770)
Se (0.737, 0.737, 0.228)
Se (0.076, 0.415, 0.230)
Se (0.263, 0.263, 0.772)
Se (0.585, 0.924, 0.770)
Se (0.415, 0.076, 0.230)
Tb (0.000, 0.000, 0.000)

Calculated values
ΔE_f (raw), kJ/mol of atoms: -172.1
Energy, eV/atom: -5.85
N(E_F), states/eV/f.u.: 5.24

First-principles (PBE) data for Pm3Sn2O after structural relaxation, as listed in Alexandria.

Lattice parameters (Å, degrees): 6.735 6.905 6.905 100.65 90.00 90.00
Atoms (fractional coordinates):
Pm (0.000, 0.839, 0.161)
Pm (0.250, 0.341, 0.341)
Pm (0.750, 0.659, 0.659)
Pm (0.000, 0.161, 0.839)
Pm (0.500, 0.161, 0.839)
Pm (0.500, 0.839, 0.161)
O (0.750, 0.922, 0.922)
O (0.250, 0.078, 0.078)
Sn (0.250, 0.825, 0.548)
Sn (0.750, 0.452, 0.175)
Sn (0.250, 0.548, 0.825)
Sn (0.750, 0.175, 0.452)

Calculated values
ΔE_f (raw), kJ/mol of atoms: -129.0
Energy, eV/atom: -5.87
N(E_F), states/eV/f.u.: 2.64

First-principles (PBE) data for Pa2TaPdN5 after structural relaxation, as listed in Alexandria.

Lattice parameters (Å, degrees): 3.309 6.742 10.592 90.00 90.00 104.21
Atoms (fractional coordinates):
N (0.728, 0.456, 0.158)
N (0.937, 0.873, 0.590)
N (0.697, 0.394, 0.882)
N (0.513, 0.025, 0.262)
N (0.303, 0.606, 0.382)
N (0.364, 0.729, 0.000)
N (0.063, 0.127, 0.090)
N (0.636, 0.271, 0.500)
N (0.272, 0.544, 0.658)
N (0.487, 0.975, 0.762)
Pd (0.469, 0.937, 0.451)
Pd (0.531, 0.063, 0.951)
Pa (0.095, 0.190, 0.667)
Pa (0.905, 0.810, 0.167)
Pa (0.143, 0.286, 0.301)
Pa (0.857, 0.714, 0.801)
Ta (0.795, 0.591, 0.514)
Ta (0.205, 0.409, 0.014)

Calculated values
ΔE_f (raw), kJ/mol of atoms: -95.9
Energy, eV/atom: -9.62
N(E_F), states/eV/f.u.: 4.18

First-principles (PBE) data for Sc2AgW after structural relaxation, as listed in Alexandria.

Lattice parameters (Å, degrees): 4.759 4.759 4.759 60.00 60.00 60.00
Last column: magnetic moment on the atom in μB.
Atoms (fractional coordinates):
W (0.750, 0.750, 0.750)  0.58
Sc (0.250, 0.250, 0.250)  -0.06
Sc (0.000, 0.000, 0.000)  0.18
Ag (0.500, 0.500, 0.500)  0.02

Calculated values
Energy, eV/atom: -6.65
Formation energy, kJ/mol of formula units: 180
N(E_F), states/eV/f.u.: 6.09
Relative energy among the computed polymorphs, meV/atom: 415

First-principles (PBE) data for Ac5Sn2Ir after structural relaxation, as listed in Alexandria.

Lattice parameters (Å, degrees): 4.882 8.966 13.298 90.00 90.00 90.00
Atoms (fractional coordinates):
Sn (0.500, 0.079, 0.328)
Sn (0.500, 0.421, 0.828)
Sn (0.500, 0.579, 0.172)
Sn (0.500, 0.921, 0.672)
Ac (0.000, 0.363, 0.300)
Ac (0.500, 0.183, 0.068)
Ac (0.000, 0.637, 0.700)
Ac (0.500, 0.317, 0.568)
Ac (0.000, 0.863, 0.200)
Ac (0.500, 0.817, 0.932)
Ac (0.000, 0.137, 0.800)
Ac (0.000, 0.000, 0.500)
Ac (0.000, 0.500, 0.000)
Ac (0.500, 0.683, 0.432)
Ir (0.000, 0.000, 0.000)
Ir (0.000, 0.500, 0.500)

Calculated values
Energy, eV/atom: -5.31
Formation energy, kJ/mol of formula units: -493
N(E_F), states/eV/f.u.: 8.92
Relative energy among the computed polymorphs, meV/atom: 0

First-principles (PBE) data for KCrFePt2 after structural relaxation, as listed in Alexandria.

Lattice parameters (Å, degrees): 4.946 4.156 4.946 90.00 90.00 90.00
Last column: magnetic moment on the atom in μB.
Atoms (fractional coordinates):
Fe (0.000, 0.500, 0.000)  0.14
K (0.000, 0.000, 0.000)  0.00
Pt (0.500, 0.000, 0.000)  -0.06
Pt (0.000, 0.000, 0.500)  -0.03
Cr (0.500, 0.500, 0.500)  0.07

Calculated values
Energy, eV/atom: -3.45
Formation energy, kJ/mol of formula units: 1352
N(E_F), states/eV/f.u.: 11.93

First-principles (PBE) data for ZrNiW2 after structural relaxation, as listed in Alexandria.

Lattice parameters (Å, degrees): 4.768 2.763 5.030 82.14 90.00 90.00
Atoms (fractional coordinates):
W (0.000, 0.974, 0.000)
W (0.000, 0.526, 0.500)
Zr (0.500, 0.250, 0.250)
Ni (0.500, 0.750, 0.750)

Calculated values
Energy, eV/atom: -9.84
Formation energy, kJ/mol of formula units: 86
N(E_F), states/eV/f.u.: 4.62
Relative energy among the computed polymorphs, meV/atom: 188